Entry P
This record from Alexandria describes a geometry-optimized Ce2NiPd structure. The functional is GGA-PBE.

## Properties
Total magnetic moment: 0.00 μB/f.u.
SG: R-3m (166)

Unit cell a=3.122 b=3.122 c=9.828 alpha=80.86 beta=80.86 gamma=60.00
Element x y z (fractional)
1 Ce 0.908 0.908 0.277
2 Ce 0.092 0.092 0.723
3 Pd 0.000 0.000 0.000
4 Ni 0.500 0.500 0.500



Entry Q
This record from Alexandria describes a geometry-optimized Ce2NiPd structure. The functional is GGA-PBE.

## Properties
Total magnetic moment: 1.04 μB/f.u.
SG: P4/mmm (123)

Unit cell a=3.566 b=3.566 c=6.609 alpha=90.00 beta=90.00 gamma=90.00
Element x y z (fractional)
1 Ce 0.000 0.000 0.221
2 Ce 0.000 0.000 0.779
3 Ni 0.500 0.500 0.000
4 Pd 0.500 0.500 0.500



Verdict on stability: entry Q comes out on top.



Entry P
This record from Alexandria describes a geometry-optimized CeNiPd2 structure. The functional is GGA-PBE.

## Properties
Total magnetic moment: 0.29 μB/f.u.
SG: Fm-3m (225)

Unit cell a=4.656 b=4.656 c=4.653 alpha=59.98 beta=59.98 gamma=60.00
Element x y z (fractional)
1 Ni 0.000 0.000 0.000
2 Pd 0.750 0.750 0.749
3 Pd 0.250 0.250 0.251
4 Ce 0.500 0.500 0.500



Entry Q
This record from Alexandria describes a geometry-optimized CeNiPd2 structure. The functional is GGA-PBE.

## Properties
Total magnetic moment: 0.31 μB/f.u.
SG: P4/mmm (123)

Unit cell a=4.133 b=4.060 c=4.060 alpha=90.00 beta=90.00 gamma=90.00
Element x y z (fractional)
1 Ni 0.500 0.000 0.000
2 Pd 0.000 0.000 0.500
3 Pd 0.000 0.500 0.000
4 Ce 0.500 0.500 0.500



Verdict on stability: entry Q comes out on top.



Entry P
This record from Alexandria describes a geometry-optimized CePmNi2 structure. The functional is GGA-PBE.

## Properties
Total magnetic moment: 0.00 μB/f.u.
SG: R-3m (166)

Unit cell a=3.946 b=3.946 c=6.980 alpha=73.58 beta=73.58 gamma=60.00
Element x y z (fractional)
1 Ni 0.256 0.256 0.232
2 Ni 0.744 0.744 0.768
3 Pm 0.500 0.500 0.500
4 Ce 0.000 0.000 0.000



Entry Q
This record from Alexandria describes a geometry-optimized CePmNi2 structure. The functional is GGA-PBE.

## Properties
Total magnetic moment: 0.00 μB/f.u.
SG: Pm (6)

Unit cell a=3.653 b=4.238 c=5.736 alpha=90.00 beta=108.39 gamma=90.00
Element x y z (fractional)
1 Ni 0.167 0.500 0.874
2 Ni 0.015 0.000 0.568
3 Pm 0.442 0.500 0.421
4 Ce 0.707 0.000 0.955



Verdict on stability: entry Q comes out on top.



Entry P
This record from Alexandria describes a geometry-optimized CePmNi2 structure. The functional is GGA-PBE.

## Properties
Total magnetic moment: 0.00 μB/f.u.
SG: P4/mmm (123)

Unit cell a=3.454 b=3.454 c=6.835 alpha=90.00 beta=90.00 gamma=90.00
Element x y z (fractional)
1 Pm 0.500 0.500 0.000
2 Ni 0.000 0.000 0.714
3 Ni 0.000 0.000 0.286
4 Ce 0.500 0.500 0.500



Entry Q
This record from Alexandria describes a geometry-optimized CePmNi2 structure. The functional is GGA-PBE.

## Properties
Total magnetic moment: 0.47 μB/f.u.
SG: Fm-3m (225)

Unit cell a=4.872 b=4.872 c=4.872 alpha=60.00 beta=60.00 gamma=60.00
Element x y z (fractional)
1 Ce 0.500 0.500 0.500
2 Ni 0.250 0.250 0.250
3 Ni 0.750 0.750 0.750
4 Pm 0.000 0.000 0.000



Verdict on stability: entry P comes out on top.



Entry P
This record from Alexandria describes a geometry-optimized CePm2Ni structure. The functional is GGA-PBE.

## Properties
Total magnetic moment: 1.31 μB/f.u.
SG: P4/mmm (123)

Unit cell a=3.508 b=3.508 c=8.653 alpha=90.00 beta=90.00 gamma=90.00
Element x y z (fractional)
1 Pm 0.000 0.000 0.808
2 Pm 0.000 0.000 0.192
3 Ni 0.500 0.500 0.000
4 Ce 0.500 0.500 0.500



Entry Q
This record from Alexandria describes a geometry-optimized CePm2Ni structure. The functional is GGA-PBE.

## Properties
Total magnetic moment: 1.56 μB/f.u.
SG: R3m (160)

Unit cell a=3.786 b=3.786 c=9.629 alpha=78.66 beta=78.66 gamma=60.00
Element x y z (fractional)
1 Ce 0.501 0.501 0.498
2 Pm 0.060 0.060 0.819
3 Pm 0.273 0.273 0.182
4 Ni 0.666 0.666 0.001



Verdict on stability: entry P comes out on top.



Entry P
This record from Alexandria describes a geometry-optimized CePm2Ni structure. The functional is GGA-PBE.

## Properties
Total magnetic moment: 0.71 μB/f.u.
SG: Pnma (62)

Unit cell a=6.475 b=6.903 c=9.838 alpha=90.00 beta=90.00 gamma=90.00
Element x y z (fractional)
1 Ni 0.040 0.374 0.250
2 Ni 0.540 0.126 0.750
3 Ni 0.960 0.626 0.750
4 Ni 0.460 0.874 0.250
5 Ce 0.657 0.540 0.250
6 Ce 0.343 0.460 0.750
7 Ce 0.157 0.960 0.750
8 Ce 0.843 0.040 0.250
9 Pm 0.831 0.321 0.933
10 Pm 0.169 0.679 0.067
11 Pm 0.169 0.679 0.433
12 Pm 0.669 0.821 0.933
13 Pm 0.331 0.179 0.433
14 Pm 0.831 0.321 0.567
15 Pm 0.669 0.821 0.567
16 Pm 0.331 0.179 0.067



Entry Q
This record from Alexandria describes a geometry-optimized CePm2Ni structure. The functional is GGA-PBE.

## Properties
Total magnetic moment: 1.43 μB/f.u.
SG: R-3m (166)

Unit cell a=3.590 b=3.590 c=10.684 alpha=80.33 beta=80.33 gamma=60.00
Element x y z (fractional)
1 Ce 0.000 0.000 0.000
2 Pm 0.109 0.109 0.673
3 Pm 0.891 0.891 0.327
4 Ni 0.500 0.500 0.500



Verdict on stability: entry P comes out on top.